Below is an optimized crystal structure of TeMoPbI2, with properties calculated at the PBE-GGA level.

Cell and atoms, written as POSCAR:
```
TeMoPbI2
1.0
-0.1049 4.1550 3.8063
-2.5730 -3.4223 3.6648
4.9463 -1.6473 1.9345
Mo I Pb Te
1 2 1 1
direct
0.0000 0.0000 0.0000
0.5000 0.0000 0.0000
0.0000 0.5000 0.0000
0.5000 0.5000 0.5000
0.0000 0.0000 0.5000
```

Results
formation energy (no corrections)	0.3151	eV/atom
offset from the most stable computed form	0	kJ/mol of formula units
magnetization	3.75	μB per cell



Below is an optimized crystal structure of Sc3Be, with properties calculated at the PBE-GGA level.

Cell and atoms, written as POSCAR:
```
Sc3Be
1.0
4.8455 0.0000 0.0000
2.4227 4.1963 0.0000
2.4227 1.3988 3.9563
Sc Be
3 1
direct
0.7500 0.7500 0.7500
0.2500 0.2500 0.2500
0.5000 0.5000 0.5000
0.0000 0.0000 0.0000
```

Results
calculated formation energy	0.230	eV/atom
offset from the most stable computed form	87	kJ/mol of formula units
magnetization	0.35	μB per cell



Below is an optimized crystal structure of Ba2GeS5, with properties calculated at the PBE-GGA level.

Cell and atoms, written as POSCAR:
```
Ba2GeS5
1.0
7.3614 -0.0787 0.0174
-0.0697 7.3573 -0.0367
-3.6248 -3.6562 4.2115
S Ge Ba
5 1 2
direct
0.7604 0.3527 0.1142
0.8186 0.8488 0.0545
0.2068 0.2371 0.0563
0.2675 0.7418 0.0096
0.7070 0.6484 0.3537
0.0123 0.9002 0.9123
0.7469 0.2677 0.5268
0.2576 0.7802 0.5266
```

Results
formation energy (no corrections)	-1.1930	eV/atom
magnetization	0.00	μB per cell



Below is an optimized crystal structure of TbDyCoRu, with properties calculated at the PBE-GGA level.

Cell and atoms, written as POSCAR:
```
TbDyCoRu
1.0
-0.1741 4.0297 -1.0595
-3.5938 0.3162 1.7933
2.3876 -0.7614 4.9190
Tb Dy Ru Co
1 1 1 1
direct
0.8553 0.5000 0.7106
0.1462 0.0000 0.2924
0.5570 0.5000 0.1140
0.4415 0.0000 0.8829
```

Results
calculated formation energy	-0.238	eV/atom
offset from the most stable computed form	0	kJ/mol of formula units
magnetization	0.76	μB per cell